# PBE ZrBeZn2, relaxed
data_ZrBeZn2
_chemical_formula_sum 'Zr1 Be1 Zn2'
_cell_length_a 2.955
_cell_length_b 2.955
_cell_length_c 6.850
_cell_angle_alpha 90.00
_cell_angle_beta 90.00
_cell_angle_gamma 90.00
_symmetry_space_group_name_H-M 'P 4/m m m'
_symmetry_Int_Tables_number 123
_symmetry_space_group_name_Hall '-P 4 2'
loop_
_atom_site_label
_atom_site_fract_x
_atom_site_fract_y
_atom_site_fract_z
Zr1 0.000 0.000 0.000
Be1 0.000 0.000 0.500
Zn1 0.500 0.500 0.301
# ΔE_f = -45 meV/atom

# PBE CaTlCu2, relaxed
data_CaTlCu2
_chemical_formula_sum 'Ca1 Tl1 Cu2'
_cell_length_a 3.588
_cell_length_b 3.610
_cell_length_c 6.441
_cell_angle_alpha 90.00
_cell_angle_beta 90.00
_cell_angle_gamma 90.00
_symmetry_space_group_name_H-M 'P m m m'
_symmetry_Int_Tables_number 47
loop_
_symmetry_equiv_pos_as_xyz
'x,y,z'
'-x,-y,-z'
'-x,-y,z'
'x,y,-z'
'x,-y,-z'
'-x,y,z'
'-x,y,-z'
'x,-y,z'
loop_
_atom_site_label
_atom_site_fract_x
_atom_site_fract_y
_atom_site_fract_z
Ca1 0.000 0.000 0.000
Tl1 0.000 0.000 0.500
Cu1 0.500 0.500 0.274
# ΔE_f = 65 meV/atom

# PBE LaNdYEr, relaxed
data_LaNdYEr
_chemical_formula_sum 'La4 Nd4 Y4 Er4'
_cell_length_a 8.174
_cell_length_b 8.174
_cell_length_c 8.174
_cell_angle_alpha 90.00
_cell_angle_beta 90.00
_cell_angle_gamma 90.00
_symmetry_space_group_name_H-M 'F -4 3 m'
_symmetry_Int_Tables_number 216
_symmetry_space_group_name_Hall 'F -4 2 3'
loop_
_atom_site_label
_atom_site_fract_x
_atom_site_fract_y
_atom_site_fract_z
La1 0.000 0.000 0.000
Nd1 0.000 0.000 0.500
Y1 0.250 0.250 0.250
Er1 0.250 0.250 0.750
# Relative energy among the computed polymorphs = 74 meV per atom
# ΔE_f = 91 meV/atom

# PBE KNa2Cu2, relaxed
data_KNa2Cu2
_chemical_formula_sum 'K2 Na4 Cu4'
_cell_length_a 4.730
_cell_length_b 4.730
_cell_length_c 12.581
_cell_angle_alpha 90.00
_cell_angle_beta 90.00
_cell_angle_gamma 90.00
_symmetry_space_group_name_H-M 'I 4/m m m'
_symmetry_Int_Tables_number 139
_symmetry_space_group_name_Hall '-I 4 2'
loop_
_atom_site_label
_atom_site_fract_x
_atom_site_fract_y
_atom_site_fract_z
K1 0.000 0.000 0.000
Na1 0.000 0.500 0.250
Cu1 0.000 0.000 0.405
# Relative energy among the computed polymorphs = 0 meV per atom
# ΔE_f = 283 meV/atom

# PBE Li6Mg3In2, relaxed
data_Li6Mg3In2
_chemical_formula_sum 'Li12 Mg6 In4'
_cell_length_a 9.776
_cell_length_b 15.027
_cell_length_c 3.045
_cell_angle_alpha 90.00
_cell_angle_beta 90.00
_cell_angle_gamma 90.00
_symmetry_space_group_name_H-M 'C m m m'
_symmetry_Int_Tables_number 65
_symmetry_space_group_name_Hall '-C 2 2'
loop_
_atom_site_label
_atom_site_fract_x
_atom_site_fract_y
_atom_site_fract_z
Li1 0.000 0.093 0.000
Li2 0.245 0.338 0.000
Mg1 0.000 0.273 0.500
Mg2 0.000 0.500 0.000
In1 0.222 0.000 0.500
# ΔE_f = -98 meV/atom

# PBE BiTeS3, relaxed
data_BiTeS3
_chemical_formula_sum 'Bi1 Te1 S3'
_cell_length_a 5.040
_cell_length_b 5.040
_cell_length_c 5.040
_cell_angle_alpha 90.00
_cell_angle_beta 90.00
_cell_angle_gamma 90.00
_symmetry_space_group_name_H-M 'P m -3 m'
_symmetry_Int_Tables_number 221
_symmetry_space_group_name_Hall '-P 4 2 3'
loop_
_atom_site_label
_atom_site_fract_x
_atom_site_fract_y
_atom_site_fract_z
Bi1 0.000 0.000 0.000
Te1 0.500 0.500 0.500
S1 0.000 0.500 0.500
# Relative energy among the computed polymorphs = 458 meV per atom
# Formation energy from raw total energies = 2.095 eV per formula unit

# PBE CrHg2Ir, relaxed
data_CrHg2Ir
_chemical_formula_sum 'Cr4 Hg8 Ir4'
_cell_length_a 6.596
_cell_length_b 6.596
_cell_length_c 6.596
_cell_angle_alpha 90.00
_cell_angle_beta 90.00
_cell_angle_gamma 90.00
_symmetry_space_group_name_H-M 'F -4 3 m'
_symmetry_Int_Tables_number 216
_symmetry_space_group_name_Hall 'F -4 2 3'
loop_
_atom_site_label
_atom_site_fract_x
_atom_site_fract_y
_atom_site_fract_z
Cr1 0.000 0.000 0.000
Hg1 0.000 0.000 0.500
Hg2 0.250 0.250 0.750
Ir1 0.250 0.250 0.250
# Relative energy among the computed polymorphs = 322 meV per atom
# ΔE_f = 544 meV/atom

# PBE SrZrHg, relaxed
data_SrZrHg
_chemical_formula_sum 'Sr2 Zr2 Hg2'
_cell_length_a 3.618
_cell_length_b 3.618
_cell_length_c 13.306
_cell_angle_alpha 90.00
_cell_angle_beta 90.00
_cell_angle_gamma 90.00
_symmetry_space_group_name_H-M 'I 4 m m'
_symmetry_Int_Tables_number 107
_symmetry_space_group_name_Hall 'I 4 -2'
loop_
_atom_site_label
_atom_site_fract_x
_atom_site_fract_y
_atom_site_fract_z
Sr1 0.000 0.000 0.000
Zr1 0.000 0.000 0.296
Hg1 0.000 0.000 0.681
# Relative energy among the computed polymorphs = 157 meV per atom
# ΔE_f = 55 meV/atom

Calculated D(E_F) (states/eV per cell), listed in the same order as above: 2.75, 1.26, 29.66, 4.84, 8.24, 4.93, 19.61, 7.06
Calculated E_tot (eV per atom), listed in the same order as above: -3.751, -3.075, -5.090, -2.102, -2.075, -3.462, -4.228, -3.456
Calculated spin magnetization (μB/cell), listed in the same order as above: 0.0, 0.0, 0.0, 0.0, 0.0, 0.0, 14.5, 0.0